# 1
The following is a PBE calculation of a relaxed structure of RbBeAu2, from Alexandria via LeMat-Bulk.

Energy of formation from the pure elements, eV per atom: -0.0818
Raw total energy, eV per cell: -23.2
Fermi-level density of states, states/eV per cell: 3.10

```
8
Lattice="-2.754 2.754 7.509 2.754 -2.754 7.509 2.754 2.754 -7.509" Properties=species:S:1:pos:R:3 pbc="T T T"
Rb 2.754 1.377 1.877
Rb 0.000 1.377 5.632
Be 2.754 -1.377 5.632
Be 0.000 4.131 1.877
Au 0.000 0.000 0.000
Au 1.377 1.377 -3.754
Au 1.377 -1.377 3.754
Au 0.000 2.754 0.000
```

---

# 2
The following is a PBE calculation of a relaxed structure of RbBeAu3, from Alexandria via LeMat-Bulk.

Energy of formation from the pure elements, eV per atom: 1.7262
Raw total energy, eV per cell: -5.9
Fermi-level density of states, states/eV per cell: 11.82

```
5
Lattice="6.091 0.000 0.000 0.000 6.091 0.000 0.000 0.000 6.091" Properties=species:S:1:pos:R:3 pbc="T T T"
Rb 0.000 0.000 0.000
Be 3.045 3.045 3.045
Au 0.000 0.000 3.045
Au 0.000 3.045 0.000
Au 3.045 0.000 0.000
```

---

# 3
The following is a PBE calculation of a relaxed structure of Rb2BeAu5, from Alexandria via LeMat-Bulk.

Energy of formation from the pure elements, eV per atom: -0.1458
Raw total energy, eV per cell: -23.2
Fermi-level density of states, states/eV per cell: 2.81

```
8
Lattice="5.359 -3.798 0.000 5.359 3.798 0.000 -2.946 0.000 5.910" Properties=species:S:1:pos:R:3 pbc="T T T"
Rb 0.000 0.000 0.000
Rb 3.739 0.000 5.844
Be 3.860 0.000 2.646
Au 3.156 2.379 2.736
Au 1.632 0.000 3.014
Au 5.718 1.398 2.924
Au 3.156 -2.379 2.736
Au 5.718 -1.398 2.924
```

---

# 4
The following is a PBE calculation of a relaxed structure of RbBeAu3, from Alexandria via LeMat-Bulk.

Energy of formation from the pure elements, eV per atom: -0.1431
Raw total energy, eV per cell: -30.5
Fermi-level density of states, states/eV per cell: 1.73

```
10
Lattice="6.504 0.000 0.000 -0.392 6.530 0.000 -0.413 -2.833 5.901" Properties=species:S:1:pos:R:3 pbc="T T T"
Rb 0.000 0.000 0.000
Rb -0.391 0.380 3.870
Be 2.863 4.448 1.321
Be 2.859 2.396 2.626
Au 0.875 3.175 1.695
Au 2.596 2.368 4.997
Au 3.095 2.510 0.032
Au 2.627 4.762 3.627
Au 3.101 0.250 1.616
Au 4.849 3.554 2.295
```

---

# 5
The following is a PBE calculation of a relaxed structure of Rb2ScBeAu, from Alexandria via LeMat-Bulk.

Energy of formation from the pure elements, eV per atom: 1.0176
Raw total energy, eV per cell: -10.2
Fermi-level density of states, states/eV per cell: 8.02

```
5
Lattice="7.233 0.000 0.000 0.000 7.233 0.000 0.000 0.000 5.082" Properties=species:S:1:pos:R:3 pbc="T T T"
Rb 0.000 3.616 0.000
Rb 3.616 0.000 0.000
Sc 0.000 0.000 0.000
Be 3.616 3.616 2.541
Au 0.000 0.000 2.541
```

---

# 6
The following is a PBE calculation of a relaxed structure of Rb2TaBeAu, from Alexandria via LeMat-Bulk.

Energy of formation from the pure elements, eV per atom: 1.5770
Raw total energy, eV per cell: -12.9
Fermi-level density of states, states/eV per cell: 6.86

```
5
Lattice="7.002 0.000 0.000 0.000 7.002 0.000 0.000 0.000 5.188" Properties=species:S:1:pos:R:3 pbc="T T T"
Rb 0.000 3.501 0.000
Rb 3.501 0.000 0.000
Ta 0.000 0.000 0.000
Be 3.501 3.501 2.594
Au 0.000 0.000 2.594
```